VASP calculation (PBE) on a geometry-optimized CrReSI2 structure.

Total DFT energy (no corrections) in eV per cell: -20.45
Formation energy without anion corrections in meV per atom: 1770.1

a b c (Å): 6.2181 6.2181 4.1943
angles (deg): 90.00 90.00 90.00
Sites, in units of the cell vectors:
Cr: 0.0000 0.0000 0.0000
Re: 0.5000 0.5000 0.0000
S: 0.0000 0.0000 0.5000
I: 0.0000 0.5000 0.5000
I: 0.5000 0.0000 0.5000